{
  "formula": "Tb5PmPrSc2",
  "functional": "PBE",
  "state": "optimized geometry",
  "ef_ev_per_atom": 0.170,
  "total_magnetization_mub_per_fu": 0.0,
  "lattice_angstrom": [[2.8155, -10.8137, 0.0000], [2.8155, 10.8137, 0.0000], [0.0000, 0.0000, 9.4041]],
  "species": ["Tb", "Tb", "Tb", "Tb", "Tb", "Tb", "Tb", "Tb", "Tb", "Tb", "Pm", "Pm", "Pr", "Pr", "Sc", "Sc", "Sc", "Sc"],
  "frac_coords": [[0.0064, 0.9936, 0.5000], [0.2653, 0.7347, 0.1894], [0.3078, 0.6922, 0.8026], [0.3905, 0.6095, 0.4814], [0.4684, 0.5316, 0.7755], [0.5316, 0.4684, 0.2755], [0.6095, 0.3905, 0.9814], [0.6922, 0.3078, 0.3026], [0.7347, 0.2653, 0.6894], [0.9936, 0.0064, 0.0000], [0.1879, 0.8121, 0.5025], [0.8121, 0.1879, 0.0025], [0.4032, 0.5968, 0.1094], [0.5968, 0.4032, 0.6094], [0.1130, 0.8870, 0.1975], [0.1443, 0.8557, 0.8306], [0.8557, 0.1443, 0.3306], [0.8870, 0.1130, 0.6975]]
}